Record 1
## MgUP2Ir2 (PBE)

Data for a relaxed MgUP2Ir2 crystal.

Calculated values
- N(E_F) (states/eV/f.u.) = 4.996
- spin magnetization (Bohr magnetons per cell) = 0.539
- VASP energy (eV per formula unit) = -45.248

Lattice parameters (Å, degrees): 4.0652 4.0652 7.3059 90.00 90.00 120.00
Space group P-3m1 (No. 164)
One atom of each set of equivalent atoms:
Mg1 0.0000 0.0000 0.0000 [1 per cell]
U1 0.0000 0.0000 0.5000 [1 per cell]
P1 0.3333 0.6667 0.2301 [2 per cell]
Ir1 0.3333 0.6667 0.7356 [2 per cell]

Record 2
## MgPIr2W (PBE)

Data for a relaxed MgPIr2W crystal.

Calculated values
- N(E_F) (states/eV/f.u.) = 4.820
- spin magnetization (Bohr magnetons per cell) = 1.206
- VASP energy (eV per formula unit) = -35.735

Lattice parameters (Å, degrees): 4.420 4.420 4.483 90.00 90.00 90.00
Space group P4/mmm (No. 123)
One atom of each set of equivalent atoms:
Mg1 0.000 0.000 0.000 [1 per cell]
P1 0.500 0.500 0.500 [1 per cell]
Ir1 0.000 0.500 0.500 [2 per cell]
W1 0.500 0.500 0.000 [1 per cell]